{"formula": "DyAg3Pb4O12", "functional": "PBE-GGA", "state": "optimized geometry", "lattice": [[-3.564, 3.756, 4.833], [-4.581, -3.187, -4.361], [3.953, -4.892, 3.257]], "species": ["Ag", "Ag", "Ag", "Dy", "O", "O", "O", "O", "O", "O", "O", "O", "O", "O", "O", "O", "Pb", "Pb", "Pb", "Pb"], "fractional_positions": [[0.500, 0.500, 0.000], [0.500, 0.000, 0.500], [0.000, 0.500, 0.500], [0.000, 0.000, 0.000], [0.285, 0.837, 0.121], [0.448, 0.285, 0.163], [0.879, 0.715, 0.163], [0.837, 0.121, 0.285], [0.163, 0.448, 0.285], [0.285, 0.163, 0.448], [0.715, 0.837, 0.552], [0.837, 0.552, 0.715], [0.163, 0.879, 0.715], [0.121, 0.285, 0.837], [0.552, 0.715, 0.837], [0.715, 0.163, 0.879], [0.500, 0.000, 0.000], [0.000, 0.500, 0.000], [0.000, 0.000, 0.500], [0.500, 0.500, 0.500]], "vol_a3_per_atom": 13.7, "final_energy_ev_per_atom": -5.242, "space_group": "No. 204"}

=====

{"formula": "RbDy2AgO4", "functional": "PBE-GGA", "state": "optimized geometry", "lattice": [[-0.480, -2.881, -1.873], [3.213, 1.158, 0.608], [0.478, -6.572, 9.985]], "species": ["Ag", "Dy", "Dy", "O", "O", "O", "O", "Rb"], "fractional_positions": [[0.000, 0.000, 0.000], [0.667, 0.333, 0.229], [0.667, 0.333, 0.771], [0.333, 0.667, 0.138], [0.000, 0.000, 0.326], [0.000, 0.000, 0.674], [0.333, 0.667, 0.862], [0.333, 0.667, 0.500]], "vol_a3_per_atom": 15.6, "final_energy_ev_per_atom": -6.521, "space_group": "No. 187"}

=====

{"formula": "DyAgSeO", "functional": "PBE-GGA", "state": "optimized geometry", "lattice": [[4.303, 0.000, 0.000], [0.000, 6.496, 0.000], [0.000, 0.000, 6.510]], "species": ["Ag", "Ag", "Dy", "Dy", "O", "O", "Se", "Se"], "fractional_positions": [[0.000, 0.255, 0.095], [0.000, 0.745, 0.595], [0.500, 0.839, 0.008], [0.500, 0.161, 0.508], [0.500, 0.108, 0.186], [0.500, 0.892, 0.686], [0.000, 0.651, 0.202], [0.000, 0.349, 0.702]], "vol_a3_per_atom": 22.7, "final_energy_ev_per_atom": -5.550, "space_group": "No. 26"}

=====

{"formula": "DyAgSeO", "functional": "PBE-GGA", "state": "optimized geometry", "lattice": [[-4.749, -1.116, 2.996], [2.560, -4.538, 2.368], [4.086, 6.532, 8.100]], "species": ["Ag", "Ag", "Ag", "Ag", "Dy", "Dy", "Dy", "Dy", "O", "O", "O", "O", "Se", "Se", "Se", "Se"], "fractional_positions": [[0.999, 0.341, 0.291], [0.690, 0.596, 0.496], [0.310, 0.096, 0.504], [0.001, 0.841, 0.709], [0.505, 0.320, 0.093], [0.006, 0.821, 0.093], [0.994, 0.321, 0.907], [0.495, 0.820, 0.907], [0.750, 0.070, 0.000], [0.248, 0.069, 0.001], [0.752, 0.569, 0.999], [0.250, 0.570, 0.000], [0.693, 0.643, 0.276], [0.303, 0.040, 0.284], [0.697, 0.540, 0.716], [0.307, 0.143, 0.724]], "vol_a3_per_atom": 22.9, "final_energy_ev_per_atom": -5.852, "space_group": "No. 4"}

=====

{"formula": "DyAgSeO", "functional": "PBE-GGA", "state": "optimized geometry", "lattice": [[6.982, 0.000, 0.101], [0.000, 6.508, 0.000], [-0.634, 0.000, 6.239]], "species": ["Ag", "Ag", "Ag", "Ag", "Dy", "Dy", "Dy", "Dy", "O", "O", "O", "O", "Se", "Se", "Se", "Se"], "fractional_positions": [[0.917, 0.290, 0.001], [0.083, 0.790, 0.499], [0.917, 0.210, 0.501], [0.083, 0.710, 0.999], [0.407, 0.049, 0.245], [0.593, 0.549, 0.255], [0.407, 0.451, 0.745], [0.593, 0.951, 0.755], [0.539, 0.279, 0.023], [0.461, 0.779, 0.477], [0.539, 0.221, 0.523], [0.461, 0.721, 0.977], [0.817, 0.931, 0.197], [0.183, 0.431, 0.303], [0.817, 0.569, 0.697], [0.183, 0.069, 0.803]], "vol_a3_per_atom": 17.7, "final_energy_ev_per_atom": -5.668, "space_group": "No. 14"}

=====

{"formula": "DyAgSnO3", "functional": "PBE-GGA", "state": "optimized geometry", "lattice": [[-2.863, 0.946, -1.759], [-0.401, -7.579, -3.424], [-2.411, -2.583, 5.999]], "species": ["Ag", "Ag", "Dy", "Dy", "O", "O", "O", "O", "O", "O", "Sn", "Sn"], "fractional_positions": [[0.671, 0.000, 0.342], [0.329, 0.500, 0.658], [0.000, 0.250, 0.000], [0.000, 0.750, 0.000], [0.065, 0.500, 0.130], [0.608, 0.247, 0.215], [0.608, 0.753, 0.215], [0.392, 0.253, 0.785], [0.392, 0.747, 0.785], [0.935, 0.000, 0.870], [0.664, 0.500, 0.327], [0.336, 0.000, 0.673]], "vol_a3_per_atom": 16.3, "final_energy_ev_per_atom": -6.291, "space_group": "No. 63"}

=====

{"formula": "DyAg3Sn4O12", "functional": "PBE-GGA", "state": "optimized geometry", "lattice": [[-3.941, 3.941, 3.941], [3.941, -3.941, 3.941], [3.941, 3.941, -3.941]], "species": ["Ag", "Ag", "Ag", "Dy", "O", "O", "O", "O", "O", "O", "O", "O", "O", "O", "O", "O", "Sn", "Sn", "Sn", "Sn"], "fractional_positions": [[0.500, 0.500, 0.000], [0.500, 0.000, 0.500], [0.000, 0.500, 0.500], [0.000, 0.000, 0.000], [0.282, 0.821, 0.103], [0.461, 0.282, 0.179], [0.897, 0.718, 0.179], [0.821, 0.103, 0.282], [0.179, 0.461, 0.282], [0.282, 0.179, 0.461], [0.718, 0.821, 0.539], [0.821, 0.539, 0.718], [0.179, 0.897, 0.718], [0.103, 0.282, 0.821], [0.539, 0.718, 0.821], [0.718, 0.179, 0.897], [0.500, 0.000, 0.000], [0.000, 0.500, 0.000], [0.000, 0.000, 0.500], [0.500, 0.500, 0.500]], "vol_a3_per_atom": 12.2, "final_energy_ev_per_atom": -5.781, "space_group": "No. 204"}

=====

{"formula": "DyYAg2O4", "functional": "PBE-GGA", "state": "optimized geometry", "lattice": [[-3.471, -0.213, -0.315], [1.759, -2.513, 1.670], [-1.358, 6.200, 10.760]], "species": ["Ag", "Ag", "Dy", "O", "O", "O", "O", "Y"], "fractional_positions": [[0.333, 0.667, 0.250], [0.667, 0.333, 0.750], [0.000, 0.000, 0.500], [0.333, 0.667, 0.085], [0.333, 0.667, 0.416], [0.667, 0.333, 0.584], [0.667, 0.333, 0.915], [0.000, 0.000, 0.000]], "vol_a3_per_atom": 16.5, "final_energy_ev_per_atom": -6.840, "space_group": "No. 164"}

=====

{"formula": "PrDyAg2P4", "functional": "PBE-GGA", "state": "optimized geometry", "lattice": [[-1.402, -2.637, -2.501], [2.913, -2.419, 0.918], [-5.762, -4.079, 7.530]], "species": ["Ag", "Ag", "Dy", "P", "P", "P", "P", "Pr"], "fractional_positions": [[0.500, 0.000, 0.505], [0.000, 0.500, 0.505], [0.000, 0.000, 0.776], [0.000, 0.000, 0.326], [0.500, 0.500, 0.685], [0.500, 0.000, 0.991], [0.000, 0.500, 0.991], [0.500, 0.500, 0.221]], "vol_a3_per_atom": 19.6, "final_energy_ev_per_atom": -5.279, "space_group": "No. 99"}

=====

{"formula": "PrDyAg2Pb2", "functional": "PBE-GGA", "state": "optimized geometry", "lattice": [[-4.129, -2.569, -0.012], [4.282, -2.282, 0.319], [-0.314, 0.469, 7.560]], "species": ["Ag", "Ag", "Dy", "Pb", "Pb", "Pr"], "fractional_positions": [[0.667, 0.333, 0.173], [0.333, 0.667, 0.693], [0.000, 0.000, 0.991], [0.333, 0.667, 0.265], [0.667, 0.333, 0.775], [0.000, 0.000, 0.489]], "vol_a3_per_atom": 25.9, "final_energy_ev_per_atom": -4.178, "space_group": "No. 156"}

=====

{"formula": "DyAgPbS3", "functional": "PBE-GGA", "state": "optimized geometry", "lattice": [[-2.360, 4.876, 7.068], [-5.245, 5.639, 4.471], [-3.413, -7.497, 1.590]], "species": ["Ag", "Ag", "Dy", "Dy", "Pb", "Pb", "S", "S", "S", "S", "S", "S"], "fractional_positions": [[0.525, 0.525, 0.213], [0.475, 0.475, 0.787], [0.164, 0.164, 0.088], [0.836, 0.836, 0.912], [0.866, 0.866, 0.426], [0.134, 0.134, 0.574], [0.000, 0.000, 0.000], [0.327, 0.327, 0.137], [0.681, 0.681, 0.320], [0.500, 0.500, 0.500], [0.319, 0.319, 0.680], [0.673, 0.673, 0.863]], "polymorph_energy_kj_per_mol_fu": 0.0, "vol_a3_per_atom": 23.3, "space_group": "No. 12"}

=====

{"formula": "DyAgPbS3", "functional": "PBE-GGA", "state": "optimized geometry", "lattice": [[6.621, -2.010, 0.000], [6.621, 2.010, 0.000], [0.000, 0.000, 10.379]], "species": ["Ag", "Ag", "Dy", "Dy", "Pb", "Pb", "S", "S", "S", "S", "S", "S"], "fractional_positions": [[0.464, 0.464, 0.250], [0.536, 0.536, 0.750], [0.000, 0.000, 0.000], [0.000, 0.000, 0.500], [0.750, 0.750, 0.250], [0.250, 0.250, 0.750], [0.360, 0.360, 0.051], [0.087, 0.087, 0.250], [0.360, 0.360, 0.449], [0.640, 0.640, 0.551], [0.913, 0.913, 0.750], [0.640, 0.640, 0.949]], "polymorph_energy_kj_per_mol_fu": 17.4, "vol_a3_per_atom": 23.0, "space_group": "No. 63"}

=====

| no. | M_tot (μB/atom) |
| --- | --- |
| 1 | 0.112 |
| 2 | 0.000 |
| 3 | 0.000 |
| 4 | 0.000 |
| 5 | 0.000 |
| 6 | 0.000 |
| 7 | 0.100 |
| 8 | 0.001 |
| 9 | 0.000 |
| 10 | 0.000 |
| 11 | 0.000 |
| 12 | 0.001 |